Below is an optimized crystal structure of Zr3TePb4O13, with properties calculated at the PBEsol level.

Summary:
As for the density of states at the Fermi level: 0.00 states/eV/f.u. Its spin magnetization is 0.0 μB per formula unit.

Unit cell a=7.5567 b=7.5567 c=7.5826 alpha=60.11 beta=60.11 gamma=60.00
Fractional positions:
O  0.5659  0.1718  0.0905
O  0.4328  0.8031  0.3312
Zr  0.0007  0.4991  0.0011
O  0.8031  0.4328  0.3312
O  0.1718  0.1718  0.0905
O  0.4328  0.4328  0.3312
Te  0.4994  0.4994  0.5019
O  0.5648  0.5648  0.6733
O  0.1971  0.5648  0.6733
O  0.1718  0.5659  0.0905
Zr  0.4991  0.4991  0.0011
O  0.8327  0.4276  0.9069
O  0.5648  0.1971  0.6733
Pb  0.9981  0.9981  0.5026
O  0.8327  0.8327  0.9069
Pb  0.0021  0.0021  0.9937
O  0.1291  0.1291  0.6126
O  0.4276  0.8327  0.9069
Zr  0.4991  0.0007  0.0011
Pb  0.9981  0.5012  0.5026
Pb  0.5012  0.9981  0.5026

Below is an optimized crystal structure of SrZn2Sb, with properties calculated at the PBEsol level.

Summary:
As for the density of states at the Fermi level: 1.63 states/eV/f.u. Its spin magnetization is 0.0 μB per formula unit.

Unit cell a=3.8339 b=3.8339 c=6.5361 alpha=90.00 beta=90.00 gamma=90.00
Fractional positions:
Sb  0.5000  0.5000  0.0000
Zn  0.0000  0.0000  0.1985
Sr  0.5000  0.5000  0.5000
Zn  0.0000  0.0000  0.8015

E_form (uncorrected)
In order: -2.144 -0.153
Unit: eV per atom